# KCd2Rh

Crystalline KCd2Rh at its relaxed geometry (GGA-PBEsol, Alexandria).

a = 4.319 Å, b = 4.319 Å, c = 5.343 Å
α = 113.84°, β = 113.84°, γ = 90.00°
Fractional positions:
Cd 0.000 0.000 0.000
Cd 0.750 0.250 0.500
K 0.500 0.500 0.000
Rh 0.250 0.750 0.500

Values from the calculation:
Energy of formation from the pure elements: 0.40 eV/atom
Raw total energy: -2.5213 eV/atom


# La4B2CI5

Crystalline La4B2CI5 at its relaxed geometry (GGA-PBEsol, Alexandria).

a = 4.251 Å, b = 11.914 Å, c = 15.281 Å
α = 85.88°, β = 82.00°, γ = 79.72°
Fractional positions:
I 0.980 0.301 0.739
I 0.339 0.064 0.258
I 0.658 0.160 0.525
I 0.020 0.699 0.261
I 0.342 0.840 0.475
I 0.320 0.612 0.749
I 0.320 0.341 0.019
I 0.680 0.388 0.251
I 0.661 0.936 0.742
I 0.680 0.659 0.981
C 0.963 0.549 0.524
C 0.037 0.451 0.476
B 0.996 0.057 0.950
B 0.686 0.000 0.000
B 0.314 0.000 0.000
B 0.004 0.943 0.050
La 0.489 0.150 0.872
La 0.869 0.157 0.104
La 0.158 0.288 0.397
La 0.131 0.843 0.896
La 0.511 0.850 0.128
La 0.842 0.712 0.603
La 0.507 0.580 0.407
La 0.493 0.420 0.593

Values from the calculation:
Raw total energy: -5.6402 eV/atom


# YCd4Hg

Crystalline YCd4Hg at its relaxed geometry (GGA-PBEsol, Alexandria).

a = 5.762 Å, b = 5.762 Å, c = 5.762 Å
α = 60.00°, β = 60.00°, γ = 60.00°
Fractional positions:
Cd 0.375 0.375 0.375
Cd 0.375 0.375 0.876
Cd 0.876 0.375 0.375
Cd 0.375 0.876 0.375
Hg 0.750 0.750 0.750
Y 0.000 0.000 0.000

Values from the calculation:
Energy of formation from the pure elements: -0.12 eV/atom
Raw total energy: -2.1447 eV/atom


# BaMn2WO

Crystalline BaMn2WO at its relaxed geometry (GGA-PBEsol, Alexandria).

a = 3.927 Å, b = 4.688 Å, c = 4.688 Å
α = 90.00°, β = 90.00°, γ = 90.00°
Each line ends with the local moment (μB).
Fractional positions:
O 0.000 0.000 0.000  -0.03
Mn 0.000 0.000 0.500  3.42
Mn 0.000 0.500 0.000  3.42
Ba 0.500 0.500 0.500  -0.10
W 0.500 0.000 0.000  -0.30

Values from the calculation:
Raw total energy: -7.5736 eV/atom


# KScSiBr2

Crystalline KScSiBr2 at its relaxed geometry (GGA-PBEsol, Alexandria).

a = 5.121 Å, b = 5.638 Å, c = 5.638 Å
α = 90.00°, β = 90.00°, γ = 90.00°
Fractional positions:
Sc 0.500 0.000 0.000
K 0.500 0.500 0.500
Si 0.000 0.000 0.000
Br 0.000 0.000 0.500
Br 0.000 0.500 0.000

Values from the calculation:
Raw total energy: -3.5920 eV/atom


# CsBi3Br

Crystalline CsBi3Br at its relaxed geometry (GGA-PBEsol, Alexandria).

a = 5.844 Å, b = 5.844 Å, c = 5.844 Å
α = 90.00°, β = 90.00°, γ = 90.00°
Fractional positions:
Cs 0.500 0.500 0.500
Bi 0.000 0.500 0.000
Bi 0.000 0.000 0.500
Bi 0.500 0.000 0.000
Br 0.000 0.000 0.000

Values from the calculation:
Raw total energy: -2.8051 eV/atom


# NiP2

Crystalline NiP2 at its relaxed geometry (GGA-PBEsol, Alexandria).

a = 2.539 Å, b = 4.404 Å, c = 7.407 Å
α = 90.00°, β = 99.87°, γ = 90.00°
Fractional positions:
Ni 0.776 0.750 0.552
Ni 0.224 0.250 0.448
P 0.142 0.750 0.285
P 0.409 0.750 0.818
P 0.591 0.250 0.182
P 0.858 0.250 0.715

Values from the calculation:
Energy of formation from the pure elements: 0.07 eV/atom
Raw total energy: -5.8385 eV/atom


# BaIn3Co

Crystalline BaIn3Co at its relaxed geometry (GGA-PBEsol, Alexandria).

a = 4.980 Å, b = 4.980 Å, c = 4.980 Å
α = 90.00°, β = 90.00°, γ = 90.00°
Fractional positions:
Co 0.000 0.000 0.000
Ba 0.500 0.500 0.500
In 0.000 0.500 0.000
In 0.000 0.000 0.500
In 0.500 0.000 0.000

Values from the calculation:
Energy of formation from the pure elements: -0.28 eV/atom
Raw total energy: -4.0451 eV/atom


Per-record V, Å³/atom: 20.4 31.4 22.5 17.3 32.6 39.9 13.6 24.7